# Pb2I3 PBE-GGA relaxed
# ΔE_f (raw) = -412 meV/atom
data_Pb2I3
_symmetry_space_group_name_H-M 'R -3 c'
_symmetry_Int_Tables_number 167
_symmetry_space_group_name_Hall '-R 3 2"c'
_cell_length_a 8.8248
_cell_length_b 8.8248
_cell_length_c 19.7629
_cell_angle_alpha 90.00
_cell_angle_beta 90.00
_cell_angle_gamma 120.00
loop_
_atom_site_label
_atom_site_fract_x
_atom_site_fract_y
_atom_site_fract_z
Pb1 0.0000 0.0000 0.1629
I1 0.0000 0.3310 0.2500

---

# Ce2TmRh9 PBE-GGA relaxed
# DFT formation energy = -0.557 eV/atom
data_Ce2TmRh9
_symmetry_space_group_name_H-M 'R -3 m'
_symmetry_Int_Tables_number 166
_symmetry_space_group_name_Hall '-R 3 2"'
_cell_length_a 5.2386
_cell_length_b 5.2386
_cell_length_c 26.5920
_cell_angle_alpha 90.00
_cell_angle_beta 90.00
_cell_angle_gamma 120.00
loop_
_atom_site_label
_atom_site_fract_x
_atom_site_fract_y
_atom_site_fract_z
Ce1 0.0000 0.0000 0.1384
Tm1 0.0000 0.0000 0.0000
Rh1 0.0000 0.0000 0.3330
Rh2 0.0000 0.0000 0.5000
Rh3 0.0020 0.5010 0.9174

---

# BaAgPd4Pb2 PBE-GGA relaxed
# DFT formation energy = -0.306 eV/atom
data_BaAgPd4Pb2
_symmetry_space_group_name_H-M 'R -3 m'
_symmetry_Int_Tables_number 166
_symmetry_space_group_name_Hall '-R 3 2"'
_cell_length_a 4.6815
_cell_length_b 4.6815
_cell_length_c 28.5903
_cell_angle_alpha 90.00
_cell_angle_beta 90.00
_cell_angle_gamma 120.00
loop_
_atom_site_label
_atom_site_fract_x
_atom_site_fract_y
_atom_site_fract_z
Ba1 0.0000 0.0000 0.0000
Ag1 0.0000 0.0000 0.5000
Pd1 0.0000 0.0000 0.1331
Pd2 0.0000 0.0000 0.4048
Pb1 0.0000 0.0000 0.2351

---

# CuAgHg PBE-GGA relaxed
# DFT formation energy = 0.224 eV/atom
data_CuAgHg
_symmetry_space_group_name_H-M 'F -4 3 m'
_symmetry_Int_Tables_number 216
_symmetry_space_group_name_Hall 'F -4 2 3'
_cell_length_a 6.210
_cell_length_b 6.210
_cell_length_c 6.210
_cell_angle_alpha 90.00
_cell_angle_beta 90.00
_cell_angle_gamma 90.00
loop_
_atom_site_label
_atom_site_fract_x
_atom_site_fract_y
_atom_site_fract_z
Cu1 0.000 0.000 0.000
Ag1 0.250 0.250 0.750
Hg1 0.250 0.250 0.250

---

| no. | V (Å³/cell) |
| --- | --- |
| 1 | 1332.9 |
| 2 | 632.0 |
| 3 | 542.7 |
| 4 | 239.5 |